LiLa8 | PBE-GGA | relaxed

Structure (POSCAR):
```
LiLa8
1.0
10.891 2.817 -2.447
-3.618 4.822 -2.521
-0.814 -1.416 5.910
Li La
1 8
direct
0.000 0.000 0.000
0.000 0.704 0.352
0.000 0.296 0.648
0.678 0.006 0.706
0.679 0.350 0.378
0.657 0.658 0.025
0.321 0.650 0.622
0.322 0.994 0.294
0.343 0.342 0.975
```

## Properties
final energy = -40.8 eV/f.u.
DFT formation energy = 0.0582 eV/atom
size of the total moment = 0.0000 μB/atom

=====

CuAsOs | PBE-GGA | relaxed

Structure (POSCAR):
```
CuAsOs
1.0
4.108 0.000 0.000
2.054 3.557 0.000
2.054 1.186 3.354
As Cu Os
1 1 1
direct
0.000 0.000 0.000
0.500 0.500 0.500
0.750 0.750 0.750
```

## Properties
polymorph energy (0 for the lowest one) = 74.7 meV/atom
final energy = -19.0 eV/f.u.
DFT formation energy = 0.3353 eV/atom
size of the total moment = 0.0000 μB/atom

=====

MnCuRuW | PBE-GGA | relaxed

Structure (POSCAR):
```
MnCuRuW
1.0
4.256 0.000 0.000
2.128 3.686 0.000
2.128 1.229 3.475
Ru Mn Cu W
1 1 1 1
direct
0.750 0.750 0.750
0.250 0.250 0.250
0.000 0.000 0.000
0.500 0.500 0.500
```

## Properties
final energy = -34.9 eV/f.u.
DFT formation energy = 0.1468 eV/atom
size of the total moment = 0.4879 μB/atom